i | {
  "formula": "CaPdSe2",
  "functional": "PBE-GGA",
  "state": "relaxed",
  "lattice": [[0.0000, 3.4513, 3.4513], [3.4513, 0.0000, 3.4513], [3.4513, 3.4513, 0.0000]],
  "species": ["Se", "Se", "Ca", "Pd"],
  "fractional_positions": [[0.7500, 0.7500, 0.7500], [0.2500, 0.2500, 0.2500], [0.0000, 0.0000, 0.0000], [0.5000, 0.5000, 0.5000]],
  "density_g_cm3": 6.15,
  "total_magnetization_mub_per_fu": 0.0,
  "sg": "Fm-3m"
}



ii | {
  "formula": "CaPdSe2",
  "functional": "PBE-GGA",
  "state": "relaxed",
  "lattice": [[3.4726, 0.0000, 0.0000], [0.0000, 4.8078, 0.0000], [0.0000, 0.0000, 4.8078]],
  "species": ["Pd", "Se", "Se", "Ca"],
  "fractional_positions": [[0.5000, 0.5000, 0.5000], [0.0000, 0.0000, 0.5000], [0.0000, 0.5000, 0.0000], [0.5000, 0.0000, 0.0000]],
  "density_g_cm3": 6.30,
  "total_magnetization_mub_per_fu": 0.0,
  "sg": "P4/mmm"
}



So which one is most stable? That would be ii, about 14.0 kJ/mol of atoms below the next structure.



i | {
  "formula": "CaPd2Se2",
  "functional": "PBE-GGA",
  "state": "relaxed",
  "lattice": [[7.5068, 0.0000, 0.0000], [0.0000, 7.5068, 0.0000], [0.0000, 0.0000, 3.5189]],
  "species": ["Pd", "Pd", "Pd", "Pd", "Se", "Se", "Se", "Se", "Ca", "Ca"],
  "fractional_positions": [[0.6523, 0.8477, 0.5000], [0.3477, 0.1523, 0.5000], [0.8477, 0.3477, 0.5000], [0.1523, 0.6523, 0.5000], [0.6607, 0.1607, 0.0000], [0.8393, 0.6607, 0.0000], [0.1607, 0.3393, 0.0000], [0.3393, 0.8393, 0.0000], [0.0000, 0.0000, 0.0000], [0.5000, 0.5000, 0.0000]],
  "density_g_cm3": 6.88,
  "total_magnetization_mub_per_fu": 0.0,
  "sg": "P4/mbm"
}



ii | {
  "formula": "CaPd2Se2",
  "functional": "PBE-GGA",
  "state": "relaxed",
  "lattice": [[4.1084, 0.0000, 0.0000], [0.0000, 4.1084, 0.0000], [2.0542, 2.0542, 6.0784]],
  "species": ["Se", "Se", "Ca", "Pd", "Pd"],
  "fractional_positions": [[0.3817, 0.3817, 0.2366], [0.6183, 0.6183, 0.7634], [0.0000, 0.0000, 0.0000], [0.2500, 0.7500, 0.5000], [0.7500, 0.2500, 0.5000]],
  "density_g_cm3": 6.65,
  "total_magnetization_mub_per_fu": 0.0,
  "sg": "I4/mmm"
}



iii | {
  "formula": "CaPd2Se2",
  "functional": "PBE-GGA",
  "state": "relaxed",
  "lattice": [[4.9812, 0.0000, 0.0000], [0.0000, 4.9812, 0.0000], [2.4906, 2.4906, 4.3276]],
  "species": ["Ca", "Se", "Se", "Pd", "Pd"],
  "fractional_positions": [[0.0000, 0.0000, 0.0000], [0.7500, 0.2500, 0.5000], [0.2500, 0.7500, 0.5000], [0.6654, 0.6654, 0.6692], [0.3346, 0.3346, 0.3308]],
  "density_g_cm3": 6.35,
  "total_magnetization_mub_per_fu": 0.0,
  "sg": "I4/mmm"
}



So which one is most stable? That would be iii, about 2.4 kJ/mol of atoms below the next structure.



i | {
  "formula": "CaSi2Pd6",
  "functional": "PBE-GGA",
  "state": "relaxed",
  "lattice": [[7.9456, 0.0000, 0.0000], [3.9728, 6.8811, 0.0000], [3.9728, 2.2937, 6.4876]],
  "species": ["Ca", "Ca", "Pd", "Pd", "Pd", "Pd", "Pd", "Pd", "Pd", "Pd", "Pd", "Pd", "Pd", "Pd", "Si", "Si", "Si", "Si"],
  "fractional_positions": [[0.5000, 0.5000, 0.5000], [0.7500, 0.7500, 0.7500], [0.7652, 0.7652, 0.2348], [0.2348, 0.7652, 0.7652], [0.2348, 0.2348, 0.7652], [0.4848, 0.0152, 0.4848], [0.0152, 0.4848, 0.0152], [0.4848, 0.0152, 0.0152], [0.7652, 0.2348, 0.2348], [0.2348, 0.7652, 0.2348], [0.0152, 0.4848, 0.4848], [0.7652, 0.2348, 0.7652], [0.4848, 0.4848, 0.0152], [0.0152, 0.0152, 0.4848], [0.6250, 0.1250, 0.1250], [0.1250, 0.6250, 0.1250], [0.1250, 0.1250, 0.1250], [0.1250, 0.1250, 0.6250]],
  "density_g_cm3": 6.88,
  "total_magnetization_mub_per_fu": 0.0,
  "sg": "Fd-3m"
}



ii | {
  "formula": "CaSi2Pd6",
  "functional": "PBE-GGA",
  "state": "relaxed",
  "lattice": [[4.1488, 0.3487, 1.0025], [1.1608, 6.0654, 2.2551], [0.6108, 0.2905, 6.5394]],
  "species": ["Pd", "Pd", "Pd", "Pd", "Pd", "Pd", "Ca", "Si", "Si"],
  "fractional_positions": [[0.8168, 0.8738, 0.4927], [0.5000, 0.3035, 0.6965], [0.5000, 0.6965, 0.3035], [0.1832, 0.1262, 0.5073], [0.1832, 0.5073, 0.1262], [0.8168, 0.4927, 0.8738], [0.0000, 0.0000, 0.0000], [0.3063, 0.6940, 0.6940], [0.6937, 0.3060, 0.3060]],
  "density_g_cm3": 7.81,
  "total_magnetization_mub_per_fu": 0.0,
  "sg": "Immm"
}



So which one is most stable? That would be ii, about 18.5 kJ/mol of atoms below the next structure.



i | {
  "formula": "Ca2Si3Pd5",
  "functional": "PBE-GGA",
  "state": "relaxed",
  "lattice": [[6.5060, 0.0000, 0.0000], [3.2530, 7.6517, 0.4439], [3.2530, 1.6188, 7.4916]],
  "species": ["Ca", "Ca", "Ca", "Ca", "Pd", "Pd", "Pd", "Pd", "Pd", "Pd", "Pd", "Pd", "Pd", "Pd", "Si", "Si", "Si", "Si", "Si", "Si"],
  "fractional_positions": [[0.3670, 0.8828, 0.3832], [0.6330, 0.1172, 0.6168], [0.8670, 0.3832, 0.8828], [0.1330, 0.6168, 0.1172], [0.7500, 0.5000, 0.5000], [0.4843, 0.2657, 0.2657], [0.1056, 0.0219, 0.7668], [0.2500, 0.5000, 0.5000], [0.0157, 0.7343, 0.7343], [0.3944, 0.2332, 0.9781], [0.6056, 0.7668, 0.0219], [0.9843, 0.2657, 0.2657], [0.8944, 0.9781, 0.2332], [0.5157, 0.7343, 0.7343], [0.3776, 0.5047, 0.7401], [0.7500, 0.0000, 0.0000], [0.6224, 0.4953, 0.2599], [0.8776, 0.7401, 0.5047], [0.1224, 0.2599, 0.4953], [0.2500, 0.0000, 0.0000]],
  "density_g_cm3": 6.28,
  "total_magnetization_mub_per_fu": 0.0,
  "sg": "Ibam"
}



ii | {
  "formula": "Ca2Si3Pd5",
  "functional": "PBE-GGA",
  "state": "relaxed",
  "lattice": [[4.0881, 0.0000, -0.6964], [0.0000, 6.7778, 0.0000], [0.0321, 0.0000, 12.5362]],
  "species": ["Ca", "Ca", "Ca", "Ca", "Pd", "Pd", "Pd", "Pd", "Pd", "Pd", "Pd", "Pd", "Pd", "Pd", "Si", "Si", "Si", "Si", "Si", "Si"],
  "fractional_positions": [[0.8246, 0.2554, 0.6493], [0.1754, 0.7554, 0.3507], [0.5209, 0.2413, 0.0418], [0.4791, 0.7413, 0.9582], [0.2878, 0.9627, 0.5756], [0.1295, 0.2394, 0.2590], [0.7122, 0.4627, 0.4244], [0.0600, 0.5732, 0.1200], [0.7090, 0.0494, 0.4181], [0.4064, 0.3475, 0.8127], [0.8705, 0.7394, 0.7410], [0.9400, 0.0732, 0.8800], [0.5936, 0.8475, 0.1873], [0.2910, 0.5494, 0.5819], [0.0549, 0.9529, 0.1098], [0.7710, 0.7563, 0.5421], [0.9451, 0.4529, 0.8902], [0.3857, 0.9867, 0.7713], [0.6143, 0.4867, 0.2287], [0.2290, 0.2563, 0.4579]],
  "density_g_cm3": 6.66,
  "total_magnetization_mub_per_fu": 0.0,
  "sg": "Cmc2_1"
}



So which one is most stable? That would be i, about 3.6 kJ/mol of atoms below the next structure.